1.
Material: CaYGa2
Method: DFT, PBE
State: relaxed

The total magnetic moment comes out at 0.00 μB/atom. The value obtained for the energy of formation from the pure elements is -0.541 eV per atom. For the density of states at the Fermi level, the calculation gives 2.4 states/eV/f.u.

It has space group Amm2 (No. 38), with a = 4.248 Å, b = 4.243 Å, c = 11.127 Å, α = 90.00°, β = 90.00° and γ = 90.00°. The asymmetric unit holds Ca at (0.000, 0.000, 0.000), Y at (0.500, 0.000, 0.718), Ga at (0.000, 0.000, 0.282) and Ga at (0.500, 0.000, 0.428).

---

2.
Material: Rb2TlGeCl5
Method: DFT, PBE
State: relaxed

Its formation energy (no corrections) is -1.3620 eV per atom. The total magnetic moment comes out at 0.00 μB/atom. For the density of states at the Fermi level, the calculation gives 0.0 states/eV/f.u.

It has space group Cmc2_1 (No. 36), with a = 5.165 Å, b = 18.389 Å, c = 12.870 Å, α = 90.00°, β = 90.00° and γ = 90.00°. The asymmetric unit holds Rb at (0.000, 0.107, 0.000), Rb at (0.000, 0.148, 0.648), Tl at (0.000, 0.208, 0.351), Ge at (0.000, 0.469, 0.750), Cl at (0.000, 0.023, 0.267), Cl at (0.000, 0.284, 0.993), Cl at (0.000, 0.342, 0.682), Cl at (0.000, 0.368, 0.322) and Cl at (0.000, 0.484, 0.079).

---

3.
Material: BaCdAg3Sn
Method: DFT, PBE
State: relaxed

The total magnetic moment comes out at 0.00 μB/atom. The value obtained for the energy of formation from the pure elements is -0.126 eV per atom. For the density of states at the Fermi level, the calculation gives 2.0 states/eV/f.u.

It has space group Cmcm (No. 63), with a = 7.002 Å, b = 13.564 Å, c = 6.844 Å, α = 90.00°, β = 90.00° and γ = 90.00°. The asymmetric unit holds Ba at (0.000, 0.210, 0.250), Cd at (0.000, 0.456, 0.250), Ag at (0.000, 0.339, 0.750), Ag at (0.202, 0.000, 0.000) and Sn at (0.000, 0.132, 0.750).